Compound: Cs3Ni2PbF9
Source: the Alexandria database
Functional: PBE with a Hubbard U
Structure: relaxed

Lattice parameters (Å, degrees): 6.251 6.251 7.726 90.00 90.00 120.00
Site moments in Bohr magnetons follow the coordinates.
Atoms (fractional coordinates):
F1 0.636 0.818 0.309  0.03
F2 0.500 0.000 0.000  0.03
F3 0.182 0.818 0.309  0.03
F4 0.182 0.364 0.309  0.03
F5 0.500 0.500 0.000  0.03
Ni1 0.333 0.667 0.151  1.84
F6 0.000 0.500 0.000  0.03
Cs1 0.333 0.667 0.676  0.00
Cs2 0.000 0.000 0.000  0.00
F7 0.364 0.182 0.691  0.03
Ni2 0.667 0.333 0.849  1.84
Pb1 0.000 0.000 0.500  0.02
F8 0.818 0.182 0.691  0.03
F9 0.818 0.636 0.691  0.03
Cs3 0.667 0.333 0.324  0.00

Output
SG: P-3m1
Calculated density, kg/m3: 5681
Volume, Å³ per cell: 261
Raw total energy, Ry per atom: -0.3182